# Dy8Er4Tm | the Alexandria database | PBE | relaxed
data_Dy8Er4Tm
_symmetry_space_group_name_H-M 'P 1'
_symmetry_Int_Tables_number 1
_symmetry_space_group_name_Hall 'P 1'
_cell_length_a 7.180
_cell_length_b 7.180
_cell_length_c 10.046
_cell_angle_alpha 90.00
_cell_angle_beta 110.94
_cell_angle_gamma 120.00
loop_
_atom_site_label
_atom_site_type_symbol
_atom_site_fract_x
_atom_site_fract_y
_atom_site_fract_z
Dy1 Dy 0.571 0.786 0.357
Dy2 Dy 0.429 0.214 0.643
Dy3 Dy 0.499 0.250 0.297
Dy4 Dy 0.952 0.202 0.703
Dy5 Dy 0.501 0.750 0.703
Dy6 Dy 0.952 0.750 0.703
Dy7 Dy 0.048 0.250 0.297
Dy8 Dy 0.048 0.798 0.297
Er1 Er 0.000 0.000 0.000
Er2 Er 0.000 0.500 0.000
Er3 Er 0.500 0.500 0.000
Er4 Er 0.500 0.000 0.000
Tm1 Tm 0.000 0.500 0.500
# SG	R-3m
# DFT formation energy	223	meV per atom
# magnetization	0.0	μB per cell

---

# TmFe2Ge3 | the Alexandria database | PBE | relaxed
data_TmFe2Ge3
_symmetry_space_group_name_H-M 'P 1'
_symmetry_Int_Tables_number 1
_symmetry_space_group_name_Hall 'P 1'
_cell_length_a 5.421
_cell_length_b 5.928
_cell_length_c 5.928
_cell_angle_alpha 101.06
_cell_angle_beta 90.00
_cell_angle_gamma 90.00
loop_
_atom_site_label
_atom_site_type_symbol
_atom_site_fract_x
_atom_site_fract_y
_atom_site_fract_z
Tm1 Tm 0.250 0.358 0.358
Tm2 Tm 0.750 0.642 0.642
Fe1 Fe 0.500 0.788 0.212
Fe2 Fe 0.000 0.788 0.212
Fe3 Fe 0.000 0.212 0.788
Fe4 Fe 0.500 0.212 0.788
Ge1 Ge 0.750 0.459 0.115
Ge2 Ge 0.750 0.115 0.459
Ge3 Ge 0.250 0.541 0.885
Ge4 Ge 0.750 0.020 0.020
Ge5 Ge 0.250 0.980 0.980
Ge6 Ge 0.250 0.885 0.541
# E above lowest polymorph	18	kJ/mol of formula units
# SG	Cmcm
# DFT formation energy	-280	meV per atom
# magnetization	0.0	μB per cell

---

# CuTcP | the Alexandria database | PBE | relaxed
data_CuTcP
_symmetry_space_group_name_H-M 'P 1'
_symmetry_Int_Tables_number 1
_symmetry_space_group_name_Hall 'P 1'
_cell_length_a 3.108
_cell_length_b 3.108
_cell_length_c 16.340
_cell_angle_alpha 90.00
_cell_angle_beta 90.00
_cell_angle_gamma 90.00
loop_
_atom_site_label
_atom_site_type_symbol
_atom_site_fract_x
_atom_site_fract_y
_atom_site_fract_z
Cu1 Cu 0.000 0.000 0.993
Cu2 Cu 0.000 0.500 0.493
Cu3 Cu 0.500 0.000 0.426
Cu4 Cu 0.500 0.500 0.926
Tc1 Tc 0.000 0.000 0.823
Tc2 Tc 0.000 0.500 0.323
Tc3 Tc 0.000 0.000 0.154
Tc4 Tc 0.000 0.500 0.654
P1 P 0.500 0.000 0.268
P2 P 0.500 0.500 0.768
P3 P 0.500 0.000 0.583
P4 P 0.500 0.500 0.083
# E above lowest polymorph	0	kJ/mol of formula units
# SG	Amm2
# DFT formation energy	-268	meV per atom
# magnetization	0.0	μB per cell

---

# Ce12Ge6Au | the Alexandria database | PBE | relaxed
data_Ce12Ge6Au
_symmetry_space_group_name_H-M 'P 1'
_symmetry_Int_Tables_number 1
_symmetry_space_group_name_Hall 'P 1'
_cell_length_a 7.855
_cell_length_b 7.855
_cell_length_c 7.855
_cell_angle_alpha 95.07
_cell_angle_beta 95.07
_cell_angle_gamma 95.07
loop_
_atom_site_label
_atom_site_type_symbol
_atom_site_fract_x
_atom_site_fract_y
_atom_site_fract_z
Ce1 Ce 0.840 0.558 0.454
Ce2 Ce 0.454 0.840 0.558
Ce3 Ce 0.558 0.454 0.840
Ce4 Ce 0.160 0.442 0.546
Ce5 Ce 0.546 0.160 0.442
Ce6 Ce 0.442 0.546 0.160
Ce7 Ce 0.017 0.110 0.369
Ce8 Ce 0.890 0.631 0.983
Ce9 Ce 0.631 0.983 0.890
Ce10 Ce 0.983 0.890 0.631
Ce11 Ce 0.110 0.369 0.017
Ce12 Ce 0.369 0.017 0.110
Ge1 Ge 0.697 0.847 0.268
Ge2 Ge 0.732 0.303 0.153
Ge3 Ge 0.153 0.732 0.303
Ge4 Ge 0.303 0.153 0.732
Ge5 Ge 0.268 0.697 0.847
Ge6 Ge 0.847 0.268 0.697
Au1 Au 0.000 0.000 0.000
# SG	R-3
# DFT formation energy	-440	meV per atom
# magnetization	8.7	μB per cell

---

# Cs2TlCuF6 | the Alexandria database | PBE | relaxed
data_Cs2TlCuF6
_symmetry_space_group_name_H-M 'P 1'
_symmetry_Int_Tables_number 1
_symmetry_space_group_name_Hall 'P 1'
_cell_length_a 6.354
_cell_length_b 6.354
_cell_length_c 6.354
_cell_angle_alpha 60.00
_cell_angle_beta 60.00
_cell_angle_gamma 60.00
loop_
_atom_site_label
_atom_site_type_symbol
_atom_site_fract_x
_atom_site_fract_y
_atom_site_fract_z
Cs1 Cs 0.750 0.750 0.750
Cs2 Cs 0.250 0.250 0.250
Tl1 Tl 0.000 0.000 0.000
Cu1 Cu 0.500 0.500 0.500
F1 F 0.730 0.270 0.270
F2 F 0.270 0.270 0.730
F3 F 0.270 0.730 0.730
F4 F 0.270 0.730 0.270
F5 F 0.730 0.270 0.730
F6 F 0.730 0.730 0.270
# SG	Fm-3m
# raw formation energy	-21.34	eV per formula unit
# magnetization	0.4	μB per cell

---

# CaIn2Hg8 | the Alexandria database | PBE | relaxed
data_CaIn2Hg8
_symmetry_space_group_name_H-M 'P 1'
_symmetry_Int_Tables_number 1
_symmetry_space_group_name_Hall 'P 1'
_cell_length_a 4.825
_cell_length_b 7.245
_cell_length_c 8.844
_cell_angle_alpha 105.50
_cell_angle_beta 105.83
_cell_angle_gamma 90.00
loop_
_atom_site_label
_atom_site_type_symbol
_atom_site_fract_x
_atom_site_fract_y
_atom_site_fract_z
Ca1 Ca 0.500 0.000 0.000
In1 In 0.768 0.354 0.535
In2 In 0.232 0.646 0.465
Hg1 Hg 0.409 0.535 0.818
Hg2 Hg 0.683 0.911 0.366
Hg3 Hg 0.866 0.804 0.732
Hg4 Hg 0.950 0.265 0.900
Hg5 Hg 0.134 0.196 0.268
Hg6 Hg 0.317 0.089 0.634
Hg7 Hg 0.591 0.465 0.182
Hg8 Hg 0.050 0.735 0.100
# SG	C2/m
# DFT formation energy	-141	meV per atom
# magnetization	0.0	μB per cell

---

# Pr4Ga2I3 | the Alexandria database | PBE | relaxed
data_Pr4Ga2I3
_symmetry_space_group_name_H-M 'P 1'
_symmetry_Int_Tables_number 1
_symmetry_space_group_name_Hall 'P 1'
_cell_length_a 4.300
_cell_length_b 4.300
_cell_length_c 19.887
_cell_angle_alpha 90.05
_cell_angle_beta 89.95
_cell_angle_gamma 119.99
loop_
_atom_site_label
_atom_site_type_symbol
_atom_site_fract_x
_atom_site_fract_y
_atom_site_fract_z
Pr1 Pr 0.334 0.666 0.885
Pr2 Pr 0.999 0.001 0.294
Pr3 Pr 0.001 0.999 0.706
Pr4 Pr 0.666 0.334 0.115
Ga1 Ga 0.667 0.333 0.798
Ga2 Ga 0.333 0.667 0.202
I1 I 0.666 0.334 0.397
I2 I 0.000 0.000 0.000
I3 I 0.334 0.666 0.603
# E above lowest polymorph	0	kJ/mol of formula units
# SG	C2/m
# raw formation energy	-8.19	eV per formula unit
# magnetization	0.0	μB per cell

---

# Pu7GeCl12 | the Alexandria database | PBE | relaxed
data_Pu7GeCl12
_symmetry_space_group_name_H-M 'P 1'
_symmetry_Int_Tables_number 1
_symmetry_space_group_name_Hall 'P 1'
_cell_length_a 9.147
_cell_length_b 9.147
_cell_length_c 9.147
_cell_angle_alpha 107.56
_cell_angle_beta 107.56
_cell_angle_gamma 107.56
loop_
_atom_site_label
_atom_site_type_symbol
_atom_site_fract_x
_atom_site_fract_y
_atom_site_fract_z
Pu1 Pu 0.970 0.655 0.875
Pu2 Pu 0.345 0.125 0.030
Pu3 Pu 0.125 0.030 0.345
Pu4 Pu 0.500 0.500 0.500
Pu5 Pu 0.875 0.970 0.655
Pu6 Pu 0.655 0.875 0.970
Pu7 Pu 0.030 0.345 0.125
Ge1 Ge 0.000 0.000 0.000
Cl1 Cl 0.922 0.311 0.788
Cl2 Cl 0.689 0.212 0.078
Cl3 Cl 0.460 0.163 0.373
Cl4 Cl 0.837 0.627 0.540
Cl5 Cl 0.212 0.078 0.689
Cl6 Cl 0.627 0.540 0.837
Cl7 Cl 0.373 0.460 0.163
Cl8 Cl 0.788 0.922 0.311
Cl9 Cl 0.163 0.373 0.460
Cl10 Cl 0.540 0.837 0.627
Cl11 Cl 0.311 0.788 0.922
Cl12 Cl 0.078 0.689 0.212
# SG	R-3
# raw formation energy	-32.86	eV per formula unit
# magnetization	40.0	μB per cell

---

# CsK2RbMg | the Alexandria database | PBE | relaxed
data_CsK2RbMg
_symmetry_space_group_name_H-M 'P 1'
_symmetry_Int_Tables_number 1
_symmetry_space_group_name_Hall 'P 1'
_cell_length_a 7.261
_cell_length_b 7.261
_cell_length_c 7.662
_cell_angle_alpha 90.00
_cell_angle_beta 90.00
_cell_angle_gamma 90.00
loop_
_atom_site_label
_atom_site_type_symbol
_atom_site_fract_x
_atom_site_fract_y
_atom_site_fract_z
Cs1 Cs 0.000 0.000 0.500
K1 K 0.000 0.500 0.000
K2 K 0.500 0.000 0.000
Mg1 Mg 0.000 0.000 0.000
Rb1 Rb 0.500 0.500 0.500
# E above lowest polymorph	8	kJ/mol of formula units
# SG	P4/mmm
# DFT formation energy	174	meV per atom
# magnetization	0.0	μB per cell

---

# Si2BiRu | the Alexandria database | PBE | relaxed
data_Si2BiRu
_symmetry_space_group_name_H-M 'P 1'
_symmetry_Int_Tables_number 1
_symmetry_space_group_name_Hall 'P 1'
_cell_length_a 5.828
_cell_length_b 5.828
_cell_length_c 7.123
_cell_angle_alpha 65.85
_cell_angle_beta 65.85
_cell_angle_gamma 90.00
loop_
_atom_site_label
_atom_site_type_symbol
_atom_site_fract_x
_atom_site_fract_y
_atom_site_fract_z
Ru1 Ru 0.500 0.500 0.000
Ru2 Ru 0.250 0.750 0.500
Si1 Si 0.550 0.125 0.250
Si2 Si 0.200 0.625 0.250
Si3 Si 0.375 0.450 0.750
Si4 Si 0.875 0.800 0.750
Bi1 Bi 0.000 0.000 0.000
Bi2 Bi 0.750 0.250 0.500
# SG	I-42d
# raw formation energy	1.22	eV per formula unit
# magnetization	0.0	μB per cell